[1]
PaPtN | PBE | relaxed

The value obtained for the mass density is 13.8 g cm⁻³. Its crystal system is orthorhombic. The calculation puts the energy relative to the elements, uncorrected at -1.280 eV per atom.

The space group is Cmcm (No. 63) and the conventional cell measures 3.7369, 14.7405 and 3.8339 Å, with angles of 90.00, 90.00 and 90.00 degrees. The inequivalent atoms are Pa at (0.0000, 0.1648, 0.2500), Pt at (0.0000, 0.4372, 0.2500) and N at (0.0000, 0.2498, 0.7500).

[2]
La6Ir2SeCl3 | PBE | relaxed

The value obtained for the mass density is 6.7 g cm⁻³. Its crystal system is monoclinic. The calculation puts the energy relative to the elements, uncorrected at -1.466 eV per atom.

The space group is C2/m (No. 12) and the conventional cell measures 7.4320, 12.8348 and 7.7311 Å, with angles of 90.00, 108.71 and 90.00 degrees. The inequivalent atoms are La at (0.2154, 0.0000, 0.2133), La at (0.2492, 0.1780, 0.7837), Ir at (0.0000, 0.1676, 0.0000), Se at (0.0000, 0.5000, 0.0000), Cl at (0.0000, 0.0000, 0.5000) and Cl at (0.0000, 0.3430, 0.5000).

[3]
SbTe2Pd | PBE | relaxed

The value obtained for the mass density is 5.9 g cm⁻³. Its crystal system is tetragonal. The calculation puts the energy relative to the elements, uncorrected at -0.009 eV per atom.

The space group is I-42d (No. 122) and the conventional cell measures 6.5690, 6.5690 and 12.7024 Å, with angles of 90.00, 90.00 and 90.00 degrees. The inequivalent atoms are Sb at (0.0000, 0.0000, 0.0000), Te at (0.2011, 0.2500, 0.6250) and Pd at (0.0000, 0.0000, 0.5000).

[4]
CsMnTl2Cl6 | PBE | relaxed

The value obtained for the mass density is 4.0 g cm⁻³. Its crystal system is monoclinic. The calculation puts the energy relative to the elements, uncorrected at -1.205 eV per atom.

The space group is P2_1/c (No. 14) and the conventional cell measures 7.4995, 8.9410 and 12.3859 Å, with angles of 90.00, 126.24 and 90.00 degrees. The inequivalent atoms are Cs at (0.0000, 0.0000, 0.0000), Mn at (0.5000, 0.0000, 0.5000), Tl at (0.2195, 0.0074, 0.7226), Cl at (0.1908, 0.1557, 0.4958), Cl at (0.2276, 0.6603, 0.8418) and Cl at (0.4517, 0.1481, 0.3316).

[5]
RbAlTl2 | PBE | relaxed

The value obtained for the mass density is 7.0 g cm⁻³. Its crystal system is cubic. The calculation puts the calculated formation energy at 0.19 eV/atom.

The space group is Fm-3m (No. 225) and the conventional cell measures 7.9054, 7.9054 and 7.9054 Å, with angles of 90.00, 90.00 and 90.00 degrees. The inequivalent atoms are Rb at (0.0000, 0.0000, 0.0000), Al at (0.0000, 0.0000, 0.5000) and Tl at (0.2500, 0.2500, 0.2500).

[6]
Sm3YTh2 | PBE | relaxed

The value obtained for the mass density is 8.4 g cm⁻³. Its crystal system is monoclinic. The calculation puts the calculated formation energy at 0.04 eV/atom.

The space group is P2_1/m (No. 11) and the conventional cell measures 10.1541, 3.6128 and 10.7944 Å, with angles of 90.00, 90.23 and 90.00 degrees. The inequivalent atoms are Sm at (0.1242, 0.2500, 0.2501), Sm at (0.1346, 0.2500, 0.9177), Sm at (0.3668, 0.7500, 0.4169), Y at (0.3751, 0.7500, 0.7498), Th at (0.1205, 0.2500, 0.5814) and Th at (0.3813, 0.7500, 0.0815).

Q: Which of these has the highest mass density?
A: PaPtN

Q: Which formula does entry 1 have?
A: PaPtN

Q: What is the formula in the third record?
A: SbTe2Pd